Record 1
LiCaRe2 | PBE-GGA | relaxed

abc: 10.077 10.077 10.077
angles: 15.94 15.94 15.94
Element x y z (fractional)
Re (0.495, 0.495, 0.495)
Re (0.005, 0.005, 0.005)
Ca (0.250, 0.250, 0.250)
Li (0.750, 0.750, 0.750)

Results
Relative energy among the computed polymorphs (eV/atom): 0.431
DFT formation energy (eV per atom): 0.7305
Electronic total energy (eV/atom): -6.4724

Record 2
LiCa2Re | PBE-GGA | relaxed

abc: 3.676 3.015 9.432
angles: 71.58 90.00 90.00
Element x y z (fractional)
Ca (0.000, 0.457, 0.541)
Ca (0.000, 0.043, 0.959)
Re (0.500, 0.750, 0.750)
Li (0.500, 0.250, 0.250)

Results
Relative energy among the computed polymorphs (eV/atom): 0.023
DFT formation energy (eV per atom): 0.5814
Electronic total energy (eV/atom): -4.0098

Record 3
LiCaRe | PBE-GGA | relaxed

abc: 5.421 5.421 5.421
angles: 151.82 131.37 57.16
Element x y z (fractional)
Re (0.684, 0.684, 0.000)
Ca (0.005, 0.005, 0.000)
Li (0.312, 0.312, 0.000)

Results
Relative energy among the computed polymorphs (eV/atom): 0.058
DFT formation energy (eV per atom): 0.6846
Electronic total energy (eV/atom): -4.7699

Record 4
LiCa3Re | PBE-GGA | relaxed

abc: 5.593 5.593 5.593
angles: 90.00 90.00 90.00
Element x y z (fractional)
Ca (0.000, 0.000, 0.500)
Ca (0.500, 0.000, 0.000)
Ca (0.000, 0.500, 0.000)
Re (0.000, 0.000, 0.000)
Li (0.500, 0.500, 0.500)

Results
Relative energy among the computed polymorphs (eV/atom): 0.000
DFT formation energy (eV per atom): 0.6617
Electronic total energy (eV/atom): -3.4117

Record 5
LiCaRe2 | PBE-GGA | relaxed

abc: 10.086 10.086 10.086
angles: 16.48 16.48 16.48
Element x y z (fractional)
Re (0.995, 0.995, 0.995)
Re (0.260, 0.260, 0.260)
Ca (0.506, 0.506, 0.506)
Li (0.740, 0.740, 0.740)

Results
Relative energy among the computed polymorphs (eV/atom): 0.235
DFT formation energy (eV per atom): 0.5343
Electronic total energy (eV/atom): -6.6686

Record 6
LiCaRe2 | PBE-GGA | relaxed

abc: 2.632 2.632 9.590
angles: 90.00 90.00 90.00
Element x y z (fractional)
Re (0.000, 0.000, 0.984)
Re (0.000, 0.000, 0.516)
Ca (0.500, 0.500, 0.250)
Li (0.500, 0.500, 0.750)

Results
Relative energy among the computed polymorphs (eV/atom): 0.337
DFT formation energy (eV per atom): 0.6367
Electronic total energy (eV/atom): -6.5662

Record 7
LiCaRe | PBE-GGA | relaxed

abc: 4.943 4.943 2.593
angles: 90.00 90.00 120.00
Element x y z (fractional)
Li (0.667, 0.333, 0.208)
Ca (0.000, 0.000, 0.139)
Re (0.333, 0.667, 0.653)

Results
Relative energy among the computed polymorphs (eV/atom): 0.031
DFT formation energy (eV per atom): 0.6580
Electronic total energy (eV/atom): -4.7965

Record 8
LiCaRe2 | PBE-GGA | relaxed

abc: 3.216 4.226 4.988
angles: 90.00 90.00 90.00
Element x y z (fractional)
Li (0.000, 0.500, 0.500)
Re (0.500, 0.500, 0.000)
Re (0.000, 0.000, 0.000)
Ca (0.500, 0.000, 0.500)

Results
Relative energy among the computed polymorphs (eV/atom): 0.169
DFT formation energy (eV per atom): 0.4685
Electronic total energy (eV/atom): -6.7344